(1)
# PBE-GGA CeAl4Ag, relaxed
data_CeAl4Ag
_symmetry_space_group_name_H-M 'P 1'
_symmetry_Int_Tables_number 1
_cell_length_a 5.5237
_cell_length_b 5.5237
_cell_length_c 5.5237
_cell_angle_alpha 60.00
_cell_angle_beta 60.00
_cell_angle_gamma 60.00
loop_
_symmetry_equiv_pos_as_xyz
'x,y,z'
loop_
_atom_site_label
_atom_site_fract_x
_atom_site_fract_y
_atom_site_fract_z
_atom_site_occupancy
Ag1 0.2500 0.2500 0.2500 1
Ce1 0.0000 0.0000 0.0000 1
Al1 0.6261 0.6261 0.1218 1
Al2 0.6261 0.1218 0.6261 1
Al3 0.6261 0.6261 0.6261 1
Al4 0.1218 0.6261 0.6261 1
# E_form in eV per atom: -0.11
# Total DFT energy (no corrections) in eV/atom: -4.0680
# ΔE to the lowest computed polymorph in kcal/mol of atoms: 2.62
# Space group: No. 216
# Density of states at the Fermi level in states/eV per atom: 1.191

=====

(2)
# PBE-GGA Ce2Al7Ag, relaxed
data_Ce2Al7Ag
_symmetry_space_group_name_H-M 'P 1'
_symmetry_Int_Tables_number 1
_cell_length_a 4.2691
_cell_length_b 4.2691
_cell_length_c 11.2214
_cell_angle_alpha 90.00
_cell_angle_beta 90.00
_cell_angle_gamma 90.00
loop_
_symmetry_equiv_pos_as_xyz
'x,y,z'
loop_
_atom_site_label
_atom_site_fract_x
_atom_site_fract_y
_atom_site_fract_z
_atom_site_occupancy
Ce1 0.5000 0.0000 0.7448 1
Ce2 0.0000 0.5000 0.2552 1
Al1 0.0000 0.5000 0.8637 1
Al2 0.5000 0.0000 0.3603 1
Al3 0.5000 0.0000 0.1363 1
Al4 0.0000 0.5000 0.6397 1
Al5 0.0000 0.0000 0.5000 1
Al6 0.0000 0.0000 0.0000 1
Al7 0.5000 0.5000 0.5000 1
Ag1 0.5000 0.5000 0.0000 1
# E_form in eV per atom: -0.32
# Total DFT energy (no corrections) in eV/atom: -4.4067
# Space group: No. 115
# Density of states at the Fermi level in states/eV per atom: 1.443

=====

(3)
# PBE-GGA Ce2AlAg, relaxed
data_Ce2AlAg
_symmetry_space_group_name_H-M 'P 1'
_symmetry_Int_Tables_number 1
_cell_length_a 3.1469
_cell_length_b 3.1469
_cell_length_c 9.2035
_cell_angle_alpha 90.00
_cell_angle_beta 90.00
_cell_angle_gamma 90.00
loop_
_symmetry_equiv_pos_as_xyz
'x,y,z'
loop_
_atom_site_label
_atom_site_fract_x
_atom_site_fract_y
_atom_site_fract_z
_atom_site_occupancy
Ag1 0.5000 0.5000 0.5000 1
Ce1 0.0000 0.0000 0.7566 1
Ce2 0.0000 0.0000 0.2434 1
Al1 0.5000 0.5000 0.0000 1
# E_form in eV per atom: -0.21
# Total DFT energy (no corrections) in eV/atom: -4.8275
# Space group: No. 123
# Density of states at the Fermi level in states/eV per atom: 1.660

=====

(4)
# PBE-GGA Ce2Al3Ag5, relaxed
data_Ce2Al3Ag5
_symmetry_space_group_name_H-M 'P 1'
_symmetry_Int_Tables_number 1
_cell_length_a 6.1779
_cell_length_b 8.8762
_cell_length_c 8.8762
_cell_angle_alpha 78.70
_cell_angle_beta 69.63
_cell_angle_gamma 69.63
loop_
_symmetry_equiv_pos_as_xyz
'x,y,z'
loop_
_atom_site_label
_atom_site_fract_x
_atom_site_fract_y
_atom_site_fract_z
_atom_site_occupancy
Ce1 0.1313 0.6016 0.1358 1
Ce2 0.6313 0.1358 0.6016 1
Ce3 0.8687 0.3984 0.8642 1
Ce4 0.3687 0.8642 0.3984 1
Al1 0.3690 0.5094 0.7526 1
Al2 0.8690 0.7526 0.5094 1
Al3 0.6310 0.4906 0.2474 1
Al4 0.1310 0.2474 0.4906 1
Al5 0.2500 0.0000 0.0000 1
Al6 0.7500 0.0000 0.0000 1
Ag1 0.3946 0.2589 0.9518 1
Ag2 0.8946 0.9518 0.2589 1
Ag3 0.6054 0.7411 0.0482 1
Ag4 0.1054 0.0482 0.7411 1
Ag5 0.4862 0.7638 0.7638 1
Ag6 0.5138 0.2362 0.2362 1
Ag7 0.7500 0.5000 0.5000 1
Ag8 0.2500 0.5000 0.5000 1
Ag9 0.0138 0.2362 0.2362 1
Ag10 0.9862 0.7638 0.7638 1
# E_form in eV per atom: -0.20
# Total DFT energy (no corrections) in eV/atom: -3.9336
# Space group: No. 72
# Density of states at the Fermi level in states/eV per atom: 1.699

=====

(5)
# PBE-GGA CeAlAg, relaxed
data_CeAlAg
_symmetry_space_group_name_H-M 'P 1'
_symmetry_Int_Tables_number 1
_cell_length_a 5.5719
_cell_length_b 5.0973
_cell_length_c 6.2078
_cell_angle_alpha 75.80
_cell_angle_beta 63.33
_cell_angle_gamma 56.87
loop_
_symmetry_equiv_pos_as_xyz
'x,y,z'
loop_
_atom_site_label
_atom_site_fract_x
_atom_site_fract_y
_atom_site_fract_z
_atom_site_occupancy
Ag1 0.7500 0.5000 0.5000 1
Ag2 0.2500 0.5000 0.5000 1
Ce1 0.8383 0.3234 0.0000 1
Ce2 0.1617 0.6766 0.0000 1
Al1 0.6304 0.0000 0.7392 1
Al2 0.3696 0.0000 0.2608 1
# E_form in eV per atom: -0.10
# Total DFT energy (no corrections) in eV/atom: -4.2765
# Space group: No. 69
# Density of states at the Fermi level in states/eV per atom: 1.644

=====

(6)
# PBE-GGA CeAl2Ag, relaxed
data_CeAl2Ag
_symmetry_space_group_name_H-M 'P 1'
_symmetry_Int_Tables_number 1
_cell_length_a 5.7066
_cell_length_b 5.7779
_cell_length_c 11.3203
_cell_angle_alpha 90.00
_cell_angle_beta 90.00
_cell_angle_gamma 90.00
loop_
_symmetry_equiv_pos_as_xyz
'x,y,z'
loop_
_atom_site_label
_atom_site_fract_x
_atom_site_fract_y
_atom_site_fract_z
_atom_site_occupancy
Ce1 0.0000 0.2500 0.4163 1
Ce2 0.5000 0.7500 0.1266 1
Ce3 0.0000 0.7500 0.5837 1
Ce4 0.5000 0.2500 0.8734 1
Al1 0.0000 0.0000 0.0000 1
Al2 0.5000 0.5000 0.5000 1
Al3 0.2561 0.7500 0.8619 1
Al4 0.7439 0.2500 0.1381 1
Al5 0.7439 0.7500 0.8619 1
Al6 0.2561 0.2500 0.1381 1
Al7 0.0000 0.5000 0.0000 1
Al8 0.5000 0.0000 0.5000 1
Ag1 0.5000 0.7500 0.6818 1
Ag2 0.5000 0.2500 0.3182 1
Ag3 0.0000 0.2500 0.7257 1
Ag4 0.0000 0.7500 0.2743 1
# E_form in eV per atom: -0.02
# Total DFT energy (no corrections) in eV/atom: -4.0873
# ΔE to the lowest computed polymorph in kcal/mol of atoms: 6.71
# Space group: No. 51
# Density of states at the Fermi level in states/eV per atom: 1.708

=====

(7)
# PBE-GGA CeAl2Ag, relaxed
data_CeAl2Ag
_symmetry_space_group_name_H-M 'P 1'
_symmetry_Int_Tables_number 1
_cell_length_a 4.4220
_cell_length_b 4.3935
_cell_length_c 4.3935
_cell_angle_alpha 90.00
_cell_angle_beta 90.00
_cell_angle_gamma 90.00
loop_
_symmetry_equiv_pos_as_xyz
'x,y,z'
loop_
_atom_site_label
_atom_site_fract_x
_atom_site_fract_y
_atom_site_fract_z
_atom_site_occupancy
Ag1 0.5000 0.0000 0.0000 1
Ce1 0.5000 0.5000 0.5000 1
Al1 0.0000 0.0000 0.5000 1
Al2 0.0000 0.5000 0.0000 1
# E_form in eV per atom: -0.15
# Total DFT energy (no corrections) in eV/atom: -4.2189
# ΔE to the lowest computed polymorph in kcal/mol of atoms: 3.68
# Space group: No. 123
# Density of states at the Fermi level in states/eV per atom: 1.617

=====

(8)
# PBE-GGA Ce2Al2Ag, relaxed
data_Ce2Al2Ag
_symmetry_space_group_name_H-M 'P 1'
_symmetry_Int_Tables_number 1
_cell_length_a 3.4637
_cell_length_b 4.6872
_cell_length_c 7.2210
_cell_angle_alpha 108.92
_cell_angle_beta 90.00
_cell_angle_gamma 90.00
loop_
_symmetry_equiv_pos_as_xyz
'x,y,z'
loop_
_atom_site_label
_atom_site_fract_x
_atom_site_fract_y
_atom_site_fract_z
_atom_site_occupancy
Ce1 0.5000 0.3930 0.7862 1
Ce2 0.5000 0.6070 0.2138 1
Al1 0.0000 0.8002 0.6003 1
Al2 0.0000 0.1998 0.3997 1
Ag1 0.0000 0.0000 0.0000 1
# E_form in eV per atom: -0.26
# Total DFT energy (no corrections) in eV/atom: -4.7054
# Space group: No. 65
# Density of states at the Fermi level in states/eV per atom: 1.619

=====

(9)
# PBE-GGA CeAl3CuAg, relaxed
data_CeAl3CuAg
_symmetry_space_group_name_H-M 'P 1'
_symmetry_Int_Tables_number 1
_cell_length_a 6.0587
_cell_length_b 6.0780
_cell_length_c 7.0310
_cell_angle_alpha 115.61
_cell_angle_beta 90.00
_cell_angle_gamma 90.00
loop_
_symmetry_equiv_pos_as_xyz
'x,y,z'
loop_
_atom_site_label
_atom_site_fract_x
_atom_site_fract_y
_atom_site_fract_z
_atom_site_occupancy
Ce1 0.7500 0.2877 0.5754 1
Ce2 0.2500 0.7123 0.4246 1
Al1 0.2500 0.1324 0.2649 1
Al2 0.0000 0.2842 0.0000 1
Al3 0.5000 0.7158 0.0000 1
Al4 0.5000 0.2842 0.0000 1
Al5 0.0000 0.7158 0.0000 1
Al6 0.7500 0.8676 0.7351 1
Cu1 0.2500 0.9272 0.8543 1
Cu2 0.7500 0.0728 0.1457 1
Ag1 0.2500 0.3459 0.6918 1
Ag2 0.7500 0.6541 0.3082 1
# E_form in eV per atom: -0.11
# Total DFT energy (no corrections) in eV/atom: -4.1282
# Space group: No. 63
# Density of states at the Fermi level in states/eV per atom: 1.511

=====

(10)
# PBE-GGA CeAlCuAg, relaxed
data_CeAlCuAg
_symmetry_space_group_name_H-M 'P 1'
_symmetry_Int_Tables_number 1
_cell_length_a 4.8087
_cell_length_b 4.8087
_cell_length_c 4.8087
_cell_angle_alpha 60.00
_cell_angle_beta 60.00
_cell_angle_gamma 60.00
loop_
_symmetry_equiv_pos_as_xyz
'x,y,z'
loop_
_atom_site_label
_atom_site_fract_x
_atom_site_fract_y
_atom_site_fract_z
_atom_site_occupancy
Cu1 0.7500 0.7500 0.7500 1
Ag1 0.2500 0.2500 0.2500 1
Ce1 0.0000 0.0000 0.0000 1
Al1 0.5000 0.5000 0.5000 1
# E_form in eV per atom: -0.19
# Total DFT energy (no corrections) in eV/atom: -4.3469
# Space group: No. 216
# Density of states at the Fermi level in states/eV per atom: 1.142